1.
VASP calculation (PBE) on Y2In2Ni15 after structural relaxation.

Results
E_tot = -5.71 eV/atom
energy of formation = -174 meV per atom
density = 8.29 Mg/m³

a b c (Å): 8.4740 8.4740 12.4453
angles (deg): 90.00 90.00 120.00
Space group R-3m (No. 166, hexagonal axes)
Symmetry-distinct sites (fractional):
Y  0.0000  0.0000  0.1453
In  0.0000  0.0000  0.3921
Ni  0.0000  0.3045  0.5000
Ni  0.0000  0.5000  0.0000
Ni  0.0057  0.5029  0.6546

---

2.
VASP calculation (PBE) on YIn2Ni2 after structural relaxation.

Results
E_tot = -4.80 eV/atom
energy above the most stable polymorph in this dataset = 0.183 eV/atom
energy of formation = -102 meV per atom
density = 7.79 Mg/m³

a b c (Å): 7.898 7.898 2.977
angles (deg): 90.00 90.00 90.00
Space group P4/mbm (No. 127)
Symmetry-distinct sites (fractional):
Y  0.000  0.000  0.000
In  0.130  0.370  0.000
Ni  0.169  0.669  0.500

---

3.
VASP calculation (PBE) on YInNi after structural relaxation.

Results
E_tot = -5.50 eV/atom
energy of formation = -506 meV per atom
density = 7.11 Mg/m³

a b c (Å): 7.5040 7.5040 3.7713
angles (deg): 90.00 90.00 120.00
Space group P-62m (No. 189)
Symmetry-distinct sites (fractional):
Y  0.0000  0.4111  0.0000
In  0.0000  0.7452  0.5000
Ni  0.0000  0.0000  0.0000
Ni  0.3333  0.6667  0.5000

---

4.
VASP calculation (PBE) on Y8InNi2 after structural relaxation.

Results
E_tot = -6.17 eV/atom
energy of formation = -173 meV per atom
density = 5.19 Mg/m³

a b c (Å): 8.713 13.457 5.302
angles (deg): 90.00 103.71 90.00
Space group C2/m (No. 12)
Symmetry-distinct sites (fractional):
Y  0.000  0.249  0.000
Y  0.110  0.500  0.804
Y  0.202  0.128  0.574
In  0.000  0.000  0.000
Ni  0.000  0.307  0.500

---

5.
VASP calculation (PBE) on Y2InNi after structural relaxation.

Results
E_tot = -5.45 eV/atom
energy of formation = -90 meV per atom
density = 5.78 Mg/m³

a b c (Å): 7.910 7.910 6.456
angles (deg): 90.00 90.00 90.00
Space group I-42d (No. 122)
Symmetry-distinct sites (fractional):
Y  0.195  0.250  0.125
In  0.000  0.000  0.500
Ni  0.000  0.000  0.000

---

6.
VASP calculation (PBE) on YIn2Ni2 after structural relaxation.

Results
E_tot = -4.86 eV/atom
energy above the most stable polymorph in this dataset = 0.123 eV/atom
energy of formation = -163 meV per atom
density = 7.37 Mg/m³

a b c (Å): 3.308 18.178 3.265
angles (deg): 90.00 90.00 90.00
Space group Cmmm (No. 65)
Symmetry-distinct sites (fractional):
Y  0.000  0.000  0.000
In  0.000  0.178  0.000
Ni  0.000  0.404  0.500

---

Q: What is the formula in the sixth record?
A: YIn2Ni2

---

Q: Which of these has the lowest energy of formation?
A: YInNi